1.
BaOs2Cl | PBE | optimized geometry

Geometry as extended XYZ:
```
4
Lattice="-0.629 0.292 -4.052 -3.539 -1.303 -1.637 -4.622 6.826 -1.064" Properties=species:S:1:pos:R:3 pbc="T T T"
Os -4.195 5.960 -1.122
Os -6.805 4.894 -4.970
Ba -4.465 3.031 -3.380
Cl -2.341 1.663 -1.723
```

Summary:
- distance to the lowest polymorph of the same formula (meV/atom) = 0
- space group = Cm, No. 8
- ΔE_f (raw) (eV/atom) = 0.007

2.
BaOsCl2 | PBE | optimized geometry

Geometry as extended XYZ:
```
4
Lattice="-0.766 -3.577 -1.478 2.088 0.886 -3.227 6.118 -2.646 3.232" Properties=species:S:1:pos:R:3 pbc="T T T"
Os 2.190 -2.007 -1.545
Ba 5.249 -3.329 0.071
Cl 5.933 -2.566 3.134
Cl 3.244 -1.403 1.713
```

Summary:
- distance to the lowest polymorph of the same formula (meV/atom) = 506
- space group = P4/mmm, No. 123
- ΔE_f (raw) (eV/atom) = 0.109

3.
BaPOsCl2 | PBE | optimized geometry

Geometry as extended XYZ:
```
5
Lattice="-2.269 -5.461 -0.436 5.260 -2.040 -1.827 1.691 -1.198 6.207" Properties=species:S:1:pos:R:3 pbc="T T T"
P 0.845 -0.599 3.103
Os 2.341 -4.350 1.972
Ba 0.000 0.000 0.000
Cl 2.630 -1.020 -0.913
Cl -1.135 -2.731 -0.218
```

Summary:
- distance to the lowest polymorph of the same formula (meV/atom) = 1554
- space group = P4/mmm, No. 123
- ΔE_f (raw) (eV/atom) = 0.924

4.
BaPOsCl2 | PBE | optimized geometry

Geometry as extended XYZ:
```
5
Lattice="-3.911 2.864 1.725 -0.790 -3.371 3.806 2.854 2.309 2.637" Properties=species:S:1:pos:R:3 pbc="T T T"
P 1.427 1.154 1.319
Os 0.000 0.000 0.000
Ba -0.924 0.901 4.084
Cl -0.395 -1.686 1.903
Cl -1.956 1.432 0.862
```

Summary:
- distance to the lowest polymorph of the same formula (meV/atom) = 0
- space group = P4/mmm, No. 123
- ΔE_f (raw) (eV/atom) = -0.630

5.
Ba2POsCl | PBE | optimized geometry

Geometry as extended XYZ:
```
5
Lattice="5.920 0.000 0.000 0.000 4.682 0.000 0.000 0.000 5.920" Properties=species:S:1:pos:R:3 pbc="T T T"
P 0.000 2.341 0.000
Os 2.960 2.341 2.960
Ba 0.000 0.000 2.960
Ba 2.960 0.000 0.000
Cl 0.000 0.000 0.000
```

Summary:
- space group = P4/mmm, No. 123
- ΔE_f (raw) (eV/atom) = 0.462

6.
Rb2BaOsCl6 | PBE | optimized geometry

Geometry as extended XYZ:
```
10
Lattice="-5.144 -1.167 -5.482 -0.926 -7.161 2.394 -6.944 -2.548 1.780" Properties=species:S:1:pos:R:3 pbc="T T T"
Os 0.000 0.000 0.000
Ba -3.035 -4.164 -1.544
Rb -7.561 -3.940 -2.623
Rb -5.452 -6.937 1.315
Cl -5.198 -3.270 0.296
Cl -7.815 -7.607 -1.604
Cl -1.355 -1.859 -0.689
Cl -4.715 -6.469 -2.399
Cl -4.202 -2.505 -3.724
Cl -1.868 -5.823 0.636
```

Summary:
- space group = Fm-3m, No. 225
- ΔE_f (raw) (eV/atom) = -1.409

7.
BaOsS2Cl | PBE | optimized geometry

Geometry as extended XYZ:
```
5
Lattice="4.728 0.000 0.000 0.000 4.728 0.000 0.000 0.000 5.060" Properties=species:S:1:pos:R:3 pbc="T T T"
S 0.000 2.364 0.000
S 2.364 0.000 0.000
Os 0.000 0.000 0.000
Ba 2.364 2.364 2.530
Cl 0.000 0.000 2.530
```

Summary:
- distance to the lowest polymorph of the same formula (meV/atom) = 0
- space group = P4/mmm, No. 123
- ΔE_f (raw) (eV/atom) = -0.721

8.
BaOsS2Cl | PBE | optimized geometry

Geometry as extended XYZ:
```
5
Lattice="-4.228 -3.894 1.694 3.913 -2.644 3.689 -1.602 3.602 4.282" Properties=species:S:1:pos:R:3 pbc="T T T"
S 1.956 -1.322 1.844
S -2.114 -1.947 0.847
Os -0.959 -1.468 4.832
Ba 0.000 0.000 0.000
Cl -0.801 1.801 2.141
```

Summary:
- distance to the lowest polymorph of the same formula (meV/atom) = 1883
- space group = P4/mmm, No. 123
- ΔE_f (raw) (eV/atom) = 1.161

Q: Which value of ΔE_f (raw) does entry 2 give?
A: 0.109 eV/atom

Copy entry 5 word for word.
Ba2POsCl | PBE | optimized geometry

Geometry as extended XYZ:
```
5
Lattice="5.920 0.000 0.000 0.000 4.682 0.000 0.000 0.000 5.920" Properties=species:S:1:pos:R:3 pbc="T T T"
P 0.000 2.341 0.000
Os 2.960 2.341 2.960
Ba 0.000 0.000 2.960
Ba 2.960 0.000 0.000
Cl 0.000 0.000 0.000
```

Summary:
- space group = P4/mmm, No. 123
- ΔE_f (raw) (eV/atom) = 0.462

Q: Among the records above, which one has the lowest ΔE_f (raw)?
A: Rb2BaOsCl6